A plane-wave DFT calculation with PBE-GGA was carried out for an optimized crystal structure of BaSr4Zn4.

Properties
Final energy: -1.608 eV per atom

Cell lengths 10.3899, 10.3899, 6.4594 Å; angles 90.00, 90.00, 90.00 degrees
Last column: nearest neighbours and their distance in Å.
Space group P4_2/n (No. 86, origin choice 2)
Symmetry-distinct sites (fractional):
Ba: 0.2500 0.2500 0.2500 (multiplicity 2)  4 Zn 3.42
Sr: 0.0815 0.6558 0.1351 (multiplicity 8)  5 Zn 3.25-3.61
Zn: 0.0296 0.5946 0.6220 (multiplicity 8)  1 Zn 2.59